Entry 1:
Below is a relaxed structure of LaSmP, with properties calculated at the PBE level.

Computed properties:
As for the calculated volume: 333 Å³ per cell. Its energy relative to the elements is -879.7 meV/atom. For the density of states at the Fermi level, the calculation gives 0.682 states/eV per atom. The calculation puts the magnetic moment at 0.000 μB per atom. The calculation puts the total energy at -17.70 eV per formula unit.

Unit cell a=6.9293 b=6.9293 c=6.9293 alpha=90.00 beta=90.00 gamma=90.00
With the nearest neighbours (Å) after each atom.
Space group F-43m (No. 216)
Inequivalent atoms, fractional coordinates:
La: 0.0000 0.0000 0.0000 (multiplicity 4)  4 P 3.00
Sm: 0.0000 0.0000 0.5000 (multiplicity 4)  4 P 3.00
P: 0.2500 0.2500 0.2500 (multiplicity 4)  4 La 3.00, 4 Sm 3.00

Entry 2:
Below is a relaxed structure of LaSm5P6, with properties calculated at the PBE level.

Computed properties:
As for the calculated volume: 600 Å³ per cell. Its energy relative to the elements is -1568.8 meV/atom. For the density of states at the Fermi level, the calculation gives 0.067 states/eV per atom. The calculation puts the magnetic moment at 0.000 μB per atom. The calculation puts the total energy at -79.81 eV per formula unit.

Unit cell a=7.1654 b=12.4083 c=7.1639 alpha=90.00 beta=109.48 gamma=90.00
With the nearest neighbours (Å) after each atom.
Space group C2/m (No. 12)
Inequivalent atoms, fractional coordinates:
La: 0.0000 0.0000 0.0000 (multiplicity 2)  6 P 2.96
Sm: 0.0000 0.1661 0.5000 (multiplicity 4)  6 P 2.89-2.93
Sm: 0.0000 0.3331 0.0000 (multiplicity 4)  6 P 2.92
Sm: 0.0000 0.5000 0.5000 (multiplicity 2)  6 P 2.89-2.93
P: 0.2469 0.3313 0.7472 (multiplicity 8)  5 Sm 2.89-2.93, 1 La 2.96
P: 0.2465 0.5000 0.2521 (multiplicity 4)  5 Sm 2.89-2.92, 1 La 2.96

Entry 3:
Below is a relaxed structure of La3SmP4, with properties calculated at the PBE level.

Computed properties:
As for the calculated volume: 430 Å³ per cell. Its energy relative to the elements is -1569.1 meV/atom. For the density of states at the Fermi level, the calculation gives 0.097 states/eV per atom. The calculation puts the magnetic moment at 0.000 μB per atom. The calculation puts the total energy at -53.69 eV per formula unit.

Unit cell a=8.4711 b=11.9712 c=4.2374 alpha=90.00 beta=90.00 gamma=90.00
With the nearest neighbours (Å) after each atom.
Space group Cmmm (No. 65)
Inequivalent atoms, fractional coordinates:
La: 0.0000 0.0000 0.0000 (multiplicity 2)  6 P 3.03
La: 0.2500 0.2500 0.5000 (multiplicity 4)  6 P 2.99-3.00
Sm: 0.0000 0.5000 0.0000 (multiplicity 2)  6 P 2.96-2.97
P: 0.0000 0.2528 0.0000 (multiplicity 4)  1 Sm 2.96, 5 La 3.00-3.03
P: 0.2449 0.5000 0.5000 (multiplicity 4)  2 Sm 2.97, 4 La 2.99-3.03

Entry 4:
Below is a relaxed structure of La2SmP, with properties calculated at the PBE level.

Computed properties:
As for the calculated volume: 402 Å³ per cell. Its energy relative to the elements is -658.6 meV/atom. For the density of states at the Fermi level, the calculation gives 1.325 states/eV per atom. As for the polymorph energy (0 for the lowest one): 0.0000 eV per atom. The calculation puts the magnetic moment at 0.140 μB per atom. The calculation puts the total energy at -22.62 eV per formula unit.

Unit cell a=3.9971 b=3.9971 c=29.0619 alpha=90.00 beta=90.00 gamma=120.00
With the nearest neighbours (Å) after each atom.
Space group R3m (No. 160, hexagonal axes)
Inequivalent atoms, fractional coordinates:
La: 0.0000 0.0000 0.0000 (multiplicity 3)  3 P 2.90
La: 0.0000 0.0000 0.2120 (multiplicity 3)  3 P 2.91
Sm: 0.0000 0.0000 0.4394 (multiplicity 3)  6 La 3.85, 6 Sm 4.00
P: 0.0000 0.0000 0.6061 (multiplicity 3)  6 La 2.90-2.91